1.
Entry from the Alexandria database: Eu2ZnPb after structural relaxation (GGA-PBE).

Computed properties:
* calculated density: 8.0 Mg/m³
* ΔH_f (0 K): -0.448 eV per atom

Lattice parameters (Å, degrees): 5.525 5.525 5.525 60.00 60.00 60.00
Positions (direct):
1 Eu 0.250 0.250 0.250
2 Eu 0.750 0.750 0.750
3 Zn 0.000 0.000 0.000
4 Pb 0.500 0.500 0.500

---

2.
Entry from the Alexandria database: Tl2CdCu2F6 after structural relaxation (GGA-PBE).

Computed properties:
* formation energy from raw total energies: -154 kJ/mol of atoms
* calculated density: 6.6 Mg/m³

Lattice parameters (Å, degrees): 6.422 6.422 7.099 121.95 121.95 54.78
Positions (direct):
1 Tl 0.226 0.226 0.258
2 Tl 0.774 0.774 0.742
3 Cd 0.000 0.000 0.500
4 Cu 0.432 0.432 0.098
5 Cu 0.568 0.568 0.902
6 F 0.198 0.674 0.655
7 F 0.240 0.240 0.813
8 F 0.326 0.802 0.345
9 F 0.674 0.198 0.655
10 F 0.760 0.760 0.187
11 F 0.802 0.326 0.345

---

3.
Entry from the Alexandria database: RbH7Pt2 after structural relaxation (GGA-PBE).

Computed properties:
* calculated density: 8.1 Mg/m³
* raw total energy: -0.279 Ry/atom

Lattice parameters (Å, degrees): 5.713 5.713 3.675 90.00 90.00 124.14
Positions (direct):
1 Rb 0.000 0.000 0.000
2 H 0.022 0.345 0.500
3 H 0.323 0.677 0.000
4 H 0.345 0.022 0.500
5 H 0.500 0.500 0.500
6 H 0.655 0.978 0.500
7 H 0.677 0.323 0.000
8 H 0.978 0.655 0.500
9 Pt 0.317 0.683 0.500
10 Pt 0.683 0.317 0.500

---

4.
Entry from the Alexandria database: Cs4Rb3Hg2 after structural relaxation (GGA-PBE).

Computed properties:
* calculated density: 2.9 Mg/m³
* ΔH_f (0 K): -0.104 eV per atom

Lattice parameters (Å, degrees): 11.876 11.876 11.935 113.32 113.32 26.47
Positions (direct):
1 Cs 0.121 0.121 0.359
2 Cs 0.266 0.266 0.849
3 Cs 0.734 0.734 0.151
4 Cs 0.879 0.879 0.641
5 Rb 0.422 0.422 0.295
6 Rb 0.500 0.500 0.000
7 Rb 0.578 0.578 0.705
8 Hg 0.111 0.111 0.958
9 Hg 0.889 0.889 0.042

---

5.
Entry from the Alexandria database: Tl2AgAs after structural relaxation (GGA-PBE).

Computed properties:
* calculated density: 9.9 Mg/m³
* ΔH_f (0 K): 0.218 eV per atom

Lattice parameters (Å, degrees): 3.312 4.869 6.172 90.00 90.00 90.00
Positions (direct):
1 Tl 0.000 0.000 0.248
2 Tl 0.000 0.000 0.752
3 Ag 0.500 0.500 0.500
4 As 0.500 0.500 0.000

---

6.
Entry from the Alexandria database: CuBiTe2 after structural relaxation (GGA-PBE).

Computed properties:
* formation energy from raw total energies: -10 kJ/mol of atoms
* calculated density: 7.2 Mg/m³

Lattice parameters (Å, degrees): 7.160 4.433 7.713 90.00 92.93 90.00
Positions (direct):
1 Cu 0.119 0.000 0.145
2 Cu 0.881 0.000 0.855
3 Bi 0.500 0.000 0.500
4 Bi 0.500 0.500 0.000
5 Te 0.234 0.500 0.316
6 Te 0.242 0.000 0.824
7 Te 0.758 0.000 0.176
8 Te 0.766 0.500 0.684

---

7.
Entry from the Alexandria database: NaBiCl3 after structural relaxation (GGA-PBE).

Computed properties:
* formation energy from raw total energies: -87 kJ/mol of atoms
* calculated density: 3.1 Mg/m³

Lattice parameters (Å, degrees): 5.642 5.642 5.642 90.00 90.00 90.00
Positions (direct):
1 Na 0.000 0.000 0.000
2 Bi 0.500 0.500 0.500
3 Cl 0.000 0.500 0.500
4 Cl 0.500 0.000 0.500
5 Cl 0.500 0.500 0.000

---

8.
Entry from the Alexandria database: NdScNi after structural relaxation (GGA-PBE).

Computed properties:
* calculated density: 5.9 Mg/m³
* ΔH_f (0 K): -0.086 eV per atom

Lattice parameters (Å, degrees): 4.384 4.384 4.169 90.00 90.00 120.00
Positions (direct):
1 Nd 0.000 0.000 0.000
2 Sc 0.667 0.333 0.494
3 Ni 0.333 0.667 0.608

---

9.
Entry from the Alexandria database: AcLuPu4 after structural relaxation (GGA-PBE).

Computed properties:
* calculated density: 13.0 Mg/m³
* ΔH_f (0 K): 0.248 eV per atom

Lattice parameters (Å, degrees): 6.296 6.296 6.296 60.00 60.00 60.00
Positions (direct):
1 Ac 0.000 0.000 0.000
2 Lu 0.750 0.750 0.750
3 Pu 0.375 0.375 0.375
4 Pu 0.375 0.375 0.874
5 Pu 0.375 0.874 0.375
6 Pu 0.874 0.375 0.375

---

10.
Entry from the Alexandria database: Ir2PbCl after structural relaxation (GGA-PBE).

Computed properties:
* formation energy from raw total energies: 68 kJ/mol of atoms
* calculated density: 11.7 Mg/m³

Lattice parameters (Å, degrees): 8.179 8.179 8.179 145.09 145.09 50.20
Positions (direct):
1 Ir 0.375 0.226 0.351
2 Ir 0.774 0.125 0.149
3 Ir 0.875 0.024 0.649
4 Ir 0.976 0.625 0.851
5 Pb 0.250 0.750 0.500
6 Pb 0.500 0.500 0.000
7 Cl 0.000 0.000 0.000
8 Cl 0.750 0.250 0.500

---

11.
Entry from the Alexandria database: Ba2Zn2Ni after structural relaxation (GGA-PBE).

Computed properties:
* calculated density: 4.9 Mg/m³
* ΔH_f (0 K): -0.115 eV per atom

Lattice parameters (Å, degrees): 10.141 10.141 10.141 24.45 24.45 24.45
Positions (direct):
1 Ba 0.070 0.070 0.070
2 Ba 0.930 0.930 0.930
3 Zn 0.183 0.183 0.183
4 Zn 0.817 0.817 0.817
5 Ni 0.500 0.500 0.500

---

12.
Entry from the Alexandria database: TbTmZnAg after structural relaxation (GGA-PBE).

Computed properties:
* calculated density: 9.0 Mg/m³
* ΔH_f (0 K): -0.327 eV per atom

Lattice parameters (Å, degrees): 5.076 5.076 5.076 60.00 60.00 60.00
Positions (direct):
1 Tb 0.000 0.000 0.000
2 Tm 0.500 0.500 0.500
3 Zn 0.750 0.750 0.750
4 Ag 0.250 0.250 0.250

---

> The lowest calculated density belongs to which entry?

Cs4Rb3Hg2

---

> What is the calculated density in the eleventh record?

4.9 Mg/m³

---

> Among the records above, which one has the lowest calculated density?

Cs4Rb3Hg2

---

> Which of these has the highest calculated density?

AcLuPu4